1.
Computed, not measured: Ac2TlSn after structural relaxation at the GGA-PBE level of DFT.

POSCAR file:
```
Ac2TlSn
1.0
4.533 0.000 0.000
0.000 5.521 0.000
0.000 0.000 5.521
Sn Tl Ac
1 1 2
Direct
0.500 0.000 0.000 Sn
0.500 0.500 0.500 Tl
0.000 0.500 0.000 Ac
0.000 0.000 0.500 Ac
```

Values from the calculation:
ρ: 9.339 g/cm³
V: 138.17 Å³ per cell
Spin magnetization: 0.000 μB/atom
Formation energy: -0.503 eV/atom

2.
Computed, not measured: Ac8TlSn2 after structural relaxation at the GGA-PBE level of DFT.

POSCAR file:
```
Ac8TlSn2
1.0
5.611 0.000 0.000
0.000 7.635 0.344
-2.805 -2.851 10.203
Sn Ac Tl
2 8 1
Direct
0.816 0.245 0.633 Sn
0.184 0.755 0.367 Sn
0.978 0.231 0.955 Ac
0.211 0.328 0.422 Ac
0.789 0.672 0.578 Ac
0.339 0.009 0.679 Ac
0.408 0.530 0.815 Ac
0.661 0.991 0.321 Ac
0.592 0.470 0.185 Ac
0.022 0.769 0.045 Ac
0.500 0.000 0.000 Tl
```

Values from the calculation:
ρ: 8.470 g/cm³
V: 442.62 Å³ per cell
Spin magnetization: 0.000 μB/atom
Formation energy: -0.282 eV/atom

3.
Computed, not measured: AcTl4Sn after structural relaxation at the GGA-PBE level of DFT.

POSCAR file:
```
AcTl4Sn
1.0
-0.263 -3.031 -5.681
3.318 -5.451 -0.900
-3.113 -5.619 -0.513
Tl Sn Ac
4 1 1
Direct
0.625 0.124 0.625 Tl
0.124 0.625 0.625 Tl
0.625 0.625 0.124 Tl
0.625 0.625 0.625 Tl
0.000 0.000 0.000 Sn
0.250 0.250 0.250 Ac
```

Values from the calculation:
ρ: 10.207 g/cm³
V: 189.24 Å³ per cell
Spin magnetization: 0.000 μB/atom
Formation energy: -0.047 eV/atom

Q: formation energy of number 1 (Ac2TlSn)?
A: -0.503 eV/atom

Q: What is the spin magnetization in the third record?
A: 0.000 μB/atom

Q: Which of these has the highest ρ?
A: AcTl4Sn